4
Lattice="4.1328 0.0000 0.0000 0.0000 4.1328 0.0000 0.0000 0.0000 5.6350" Properties=species:S:1:pos:R:3 comment="ZrTe2Se meta-GGA SCAN single point on PBEsol structure" e_tot_ev_per_cell=-126.09 rho_g_cm3=7.339 e_form_raw_kj_per_mol_atoms=-19.5 pbc="T T T"
Se 0.0000 0.0000 2.8175
Te 0.0000 2.0664 0.0000
Te 2.0664 0.0000 0.0000
Zr 2.0664 2.0664 2.8175